The following is a DFT calculation (GGA-PBE) of KSiMo2 after structural relaxation.

Lattice parameters (Å, degrees): 4.528 2.748 7.081 92.55 90.00 90.00
Sites, in units of the cell vectors:
1 Mo 0.000 0.087 0.091
2 Mo 0.000 0.413 0.409
3 Si 0.500 0.250 0.250
4 K 0.500 0.750 0.750

Values from the calculation:
DOS at the Fermi energy: 3.98 states/eV/f.u.
Uncorrected formation energy: 0.874 eV per atom
Raw total energy: -6.172 eV/atom